Entry 1:
VASP calculation (PBE-GGA) on Cu2SbMoAu after structural relaxation.

The structure in extended XYZ format:
```
5
Lattice="4.718 0.000 0.000 0.000 4.718 0.000 0.000 0.000 5.221" Properties=species:S:1:pos:R:3 pbc="T T T"
Cu 0.000 2.359 0.000
Cu 2.359 0.000 0.000
Sb 0.000 0.000 2.610
Mo 2.359 2.359 2.610
Au 0.000 0.000 0.000
```

Properties
Its raw total energy is -4.109 eV per atom. As for the space group: P4/mmm. The calculation puts the formation energy from raw total energies at 1175 meV per atom.

---

Entry 2:
VASP calculation (PBE-GGA) on SrNdPtAu after structural relaxation.

The structure in extended XYZ format:
```
4
Lattice="0.000 3.695 3.695 3.695 0.000 3.695 3.695 3.695 0.000" Properties=species:S:1:pos:R:3 pbc="T T T"
Sr 0.000 0.000 0.000
Nd 3.695 3.695 3.695
Pt 1.848 1.848 1.848
Au 5.543 5.543 5.543
```

Properties
Its raw total energy is -4.744 eV per atom. As for the space group: F-43m. The calculation puts the polymorph energy (0 for the lowest one) at 6.5 kJ per mole of atoms.

---

Number 1: magnetic moment 3.74 μB/cell. Number 2: magnetic moment 0.00 μB/cell.